Entry from the Alexandria database: crystalline RbDyP2S8 at its relaxed geometry (PBE-GGA).

Energy relative to the elements, uncorrected, kJ/mol of formula units: -684.1
Density, kg/m³: 2965

Structure (CIF):
```
data_RbDyP2S8
_chemical_formula_sum 'Rb1 Dy1 P2 S8'
_space_group_name_H-M_alt 'P -3'
_space_group_IT_number 147
_space_group_name_Hall '-P 3'
_cell_length_a 6.1883
_cell_length_b 6.1883
_cell_length_c 9.5666
_cell_angle_alpha 90.00
_cell_angle_beta 90.00
_cell_angle_gamma 120.00
loop_
_atom_site_label
_atom_site_type_symbol
_atom_site_fract_x
_atom_site_fract_y
_atom_site_fract_z
Rb1 Rb 0.0000 0.0000 0.0000
Dy1 Dy 0.0000 0.0000 0.5000
P1 P 0.3333 0.6667 0.7289
S1 S 0.0016 0.3628 0.6700
S2 S 0.3333 0.6667 0.9417
```


Entry from the Alexandria database: crystalline Ga3NiB at its relaxed geometry (PBE-GGA).

Polymorph energy (0 for the lowest one), meV per atom: 0
Formation enthalpy at 0 K, eV per atom: 0.59
Density, kg/m³: 5949

Structure (CIF):
```
data_Ga3NiB
_chemical_formula_sum 'Ga3 Ni1 B1'
_space_group_name_H-M_alt 'P m -3 m'
_space_group_IT_number 221
_space_group_name_Hall '-P 4 2 3'
_cell_length_a 4.269
_cell_length_b 4.269
_cell_length_c 4.269
_cell_angle_alpha 90.00
_cell_angle_beta 90.00
_cell_angle_gamma 90.00
loop_
_atom_site_label
_atom_site_type_symbol
_atom_site_fract_x
_atom_site_fract_y
_atom_site_fract_z
Ga1 Ga 0.000 0.000 0.500
Ni1 Ni 0.500 0.500 0.500
B1 B 0.000 0.000 0.000
```


Entry from the Alexandria database: crystalline GaCu6 at its relaxed geometry (PBE-GGA).

Polymorph energy (0 for the lowest one), meV per atom: 0
Formation enthalpy at 0 K, eV per atom: 0.00
Density, kg/m³: 8588

Structure (CIF):
```
data_GaCu6
_chemical_formula_sum 'Ga3 Cu18'
_space_group_name_H-M_alt 'R -3'
_space_group_IT_number 148
_space_group_name_Hall '-R 3'
_cell_length_a 10.8444
_cell_length_b 10.8444
_cell_length_c 2.5686
_cell_angle_alpha 90.00
_cell_angle_beta 90.00
_cell_angle_gamma 120.00
loop_
_atom_site_label
_atom_site_type_symbol
_atom_site_fract_x
_atom_site_fract_y
_atom_site_fract_z
Ga1 Ga 0.0000 0.0000 0.0000
Cu1 Cu 0.0483 0.2401 0.6664
```


Entry from the Alexandria database: crystalline InSnS2 at its relaxed geometry (PBE-GGA).

Energy relative to the elements, uncorrected, kJ/mol of formula units: -97.2
Density, kg/m³: 4711

Structure (CIF):
```
data_InSnS2
_chemical_formula_sum 'In4 Sn4 S8'
_space_group_name_H-M_alt 'I -4 2 d'
_space_group_IT_number 122
_space_group_name_Hall 'I -4 2bw'
_cell_length_a 7.178
_cell_length_b 7.178
_cell_length_c 8.146
_cell_angle_alpha 90.00
_cell_angle_beta 90.00
_cell_angle_gamma 90.00
loop_
_atom_site_label
_atom_site_type_symbol
_atom_site_fract_x
_atom_site_fract_y
_atom_site_fract_z
In1 In 0.000 0.000 0.000
Sn1 Sn 0.000 0.000 0.500
S1 S 0.239 0.250 0.125
```


Entry from the Alexandria database: crystalline Mg3PN at its relaxed geometry (PBE-GGA).

Energy relative to the elements, uncorrected, kJ/mol of formula units: -263.4
Polymorph energy (0 for the lowest one), meV per atom: 192
Density, kg/m³: 2407

Structure (CIF):
```
data_Mg3PN
_chemical_formula_sum 'Mg24 P8 N8'
_space_group_name_H-M_alt 'C m c e'
_space_group_IT_number 64
_space_group_name_Hall '-C 2ac 2'
_cell_length_a 8.313
_cell_length_b 12.410
_cell_length_c 6.306
_cell_angle_alpha 90.00
_cell_angle_beta 90.00
_cell_angle_gamma 90.00
loop_
_atom_site_label
_atom_site_type_symbol
_atom_site_fract_x
_atom_site_fract_y
_atom_site_fract_z
Mg1 Mg 0.000 0.109 0.177
Mg2 Mg 0.209 0.000 0.500
Mg3 Mg 0.250 0.223 0.750
P1 P 0.000 0.110 0.755
N1 N 0.250 0.115 0.250
```


Entry from the Alexandria database: crystalline CaSbW2Au at its relaxed geometry (PBE-GGA).

Energy relative to the elements, uncorrected, kJ/mol of formula units: 122.1
Polymorph energy (0 for the lowest one), meV per atom: 218
Density, kg/m³: 10953

Structure (CIF):
```
data_CaSbW2Au
_chemical_formula_sum 'Ca2 Sb2 W4 Au2'
_space_group_name_H-M_alt 'I m m 2'
_space_group_IT_number 44
_space_group_name_Hall 'I 2 -2'
_cell_length_a 3.942
_cell_length_b 4.623
_cell_length_c 12.087
_cell_angle_alpha 90.00
_cell_angle_beta 90.00
_cell_angle_gamma 90.00
loop_
_atom_site_label
_atom_site_type_symbol
_atom_site_fract_x
_atom_site_fract_y
_atom_site_fract_z
Ca1 Ca 0.000 0.000 0.000
Sb1 Sb 0.000 0.500 0.742
W1 W 0.000 0.000 0.622
W2 W 0.000 0.500 0.255
Au1 Au 0.000 0.000 0.406
```


Entry from the Alexandria database: crystalline RbNbPbO4 at its relaxed geometry (PBE-GGA).

Energy relative to the elements, uncorrected, kJ/mol of formula units: -1364.9
Density, kg/m³: 4532

Structure (CIF):
```
data_RbNbPbO4
_chemical_formula_sum 'Rb2 Nb2 Pb2 O8'
_space_group_name_H-M_alt 'P 1 21/m 1'
_space_group_IT_number 11
_space_group_name_Hall '-P 2yb'
_cell_length_a 6.866
_cell_length_b 6.446
_cell_length_c 8.112
_cell_angle_alpha 90.00
_cell_angle_beta 113.41
_cell_angle_gamma 90.00
loop_
_atom_site_label
_atom_site_type_symbol
_atom_site_fract_x
_atom_site_fract_y
_atom_site_fract_z
Rb1 Rb 0.205 0.250 0.471
Nb1 Nb 0.215 0.750 0.200
Pb1 Pb 0.321 0.250 0.046
O1 O 0.015 0.750 0.958
O2 O 0.061 0.750 0.340
O3 O 0.393 0.511 0.249
```


Entry from the Alexandria database: crystalline La2ZrNi at its relaxed geometry (PBE-GGA).

Polymorph energy (0 for the lowest one), meV per atom: 174
Formation enthalpy at 0 K, eV per atom: 0.09
Density, kg/m³: 6645

Structure (CIF):
```
data_La2ZrNi
_chemical_formula_sum 'La6 Zr3 Ni3'
_space_group_name_H-M_alt 'R -3 m'
_space_group_IT_number 166
_space_group_name_Hall '-R 3 2"'
_cell_length_a 3.6403
_cell_length_b 3.6403
_cell_length_c 27.9402
_cell_angle_alpha 90.00
_cell_angle_beta 90.00
_cell_angle_gamma 120.00
loop_
_atom_site_label
_atom_site_type_symbol
_atom_site_fract_x
_atom_site_fract_y
_atom_site_fract_z
La1 La 0.0000 0.0000 0.2351
Zr1 Zr 0.0000 0.0000 0.0000
Ni1 Ni 0.0000 0.0000 0.5000
```


Entry from the Alexandria database: crystalline SmY2Sc3Bi6 at its relaxed geometry (PBE-GGA).

Formation enthalpy at 0 K, eV per atom: -0.78
Density, kg/m³: 7950

Structure (CIF):
```
data_SmY2Sc3Bi6
_chemical_formula_sum 'Sm2 Y4 Sc6 Bi12'
_space_group_name_H-M_alt 'C 1 2/m 1'
_space_group_IT_number 12
_space_group_name_Hall '-C 2y'
_cell_length_a 7.606
_cell_length_b 13.181
_cell_length_c 7.591
_cell_angle_alpha 90.00
_cell_angle_beta 109.52
_cell_angle_gamma 90.00
loop_
_atom_site_label
_atom_site_type_symbol
_atom_site_fract_x
_atom_site_fract_y
_atom_site_fract_z
Sm1 Sm 0.000 0.000 0.000
Y1 Y 0.000 0.333 0.000
Sc1 Sc 0.000 0.165 0.500
Sc2 Sc 0.000 0.500 0.500
Bi1 Bi 0.243 0.332 0.733
Bi2 Bi 0.248 0.000 0.734
```


Entry from the Alexandria database: crystalline TmSi2Ni at its relaxed geometry (PBE-GGA).

Energy relative to the elements, uncorrected, kJ/mol of formula units: -316.0
Density, kg/m³: 7391

Structure (CIF):
```
data_TmSi2Ni
_chemical_formula_sum 'Tm2 Si4 Ni2'
_space_group_name_H-M_alt 'P 1 21/m 1'
_space_group_IT_number 11
_space_group_name_Hall '-P 2yb'
_cell_length_a 3.935
_cell_length_b 3.928
_cell_length_c 8.479
_cell_angle_alpha 90.00
_cell_angle_beta 103.34
_cell_angle_gamma 90.00
loop_
_atom_site_label
_atom_site_type_symbol
_atom_site_fract_x
_atom_site_fract_y
_atom_site_fract_z
Tm1 Tm 0.105 0.250 0.210
Si1 Si 0.251 0.750 0.500
Si2 Si 0.459 0.250 0.920
Ni1 Ni 0.323 0.250 0.648
```


Entry from the Alexandria database: crystalline LaIn2Sb at its relaxed geometry (PBE-GGA).

Energy relative to the elements, uncorrected, kJ/mol of formula units: -137.3
Polymorph energy (0 for the lowest one), meV per atom: 226
Density, kg/m³: 6986

Structure (CIF):
```
data_LaIn2Sb
_chemical_formula_sum 'La4 In8 Sb4'
_space_group_name_H-M_alt 'F -4 3 m'
_space_group_IT_number 216
_space_group_name_Hall 'F -4 2 3'
_cell_length_a 7.754
_cell_length_b 7.754
_cell_length_c 7.754
_cell_angle_alpha 90.00
_cell_angle_beta 90.00
_cell_angle_gamma 90.00
loop_
_atom_site_label
_atom_site_type_symbol
_atom_site_fract_x
_atom_site_fract_y
_atom_site_fract_z
La1 La 0.000 0.000 0.000
In1 In 0.000 0.000 0.500
In2 In 0.250 0.250 0.750
Sb1 Sb 0.250 0.250 0.250
```


Entry from the Alexandria database: crystalline MgPaPb2S6 at its relaxed geometry (PBE-GGA).

Energy relative to the elements, uncorrected, kJ/mol of formula units: -909.1
Density, kg/m³: 5846

Structure (CIF):
```
data_MgPaPb2S6
_chemical_formula_sum 'Mg2 Pa2 Pb4 S12'
_space_group_name_H-M_alt 'P 1 21/c 1'
_space_group_IT_number 14
_space_group_name_Hall '-P 2ybc'
_cell_length_a 6.809
_cell_length_b 7.206
_cell_length_c 11.965
_cell_angle_alpha 90.00
_cell_angle_beta 123.45
_cell_angle_gamma 90.00
loop_
_atom_site_label
_atom_site_type_symbol
_atom_site_fract_x
_atom_site_fract_y
_atom_site_fract_z
Mg1 Mg 0.000 0.000 0.000
Pa1 Pa 0.500 0.000 0.500
Pb1 Pb 0.212 0.067 0.734
S1 S 0.132 0.194 0.450
S2 S 0.246 0.693 0.434
S3 S 0.365 0.039 0.247
```